# 1
Entry from the Alexandria database: crystalline YNiC3 at its relaxed geometry (PBE).

```
data_YNiC3
_cell_length_a 4.409
_cell_length_b 4.409
_cell_length_c 4.409
_cell_angle_alpha 90.00
_cell_angle_beta 90.00
_cell_angle_gamma 90.00
_symmetry_space_group_name_H-M 'P m -3 m'
_symmetry_Int_Tables_number 221
_symmetry_space_group_name_Hall '-P 4 2 3'
loop_
_atom_site_label
_atom_site_type_symbol
_atom_site_fract_x
_atom_site_fract_y
_atom_site_fract_z
Y1 Y 0.000 0.000 0.000
Ni1 Ni 0.500 0.500 0.500
C1 C 0.000 0.000 0.500
```

Summary:
The energy above the most stable polymorph in this dataset is 1738 meV per atom. As for the formation energy: 3.0782 eV/atom. Its density is 3557 kg/m³.


# 2
Entry from the Alexandria database: crystalline Yb4Ni2C5 at its relaxed geometry (PBE).

```
data_Yb4Ni2C5
_cell_length_a 3.634
_cell_length_b 11.800
_cell_length_c 3.708
_cell_angle_alpha 90.00
_cell_angle_beta 90.00
_cell_angle_gamma 90.00
_symmetry_space_group_name_H-M 'P m m 2'
_symmetry_Int_Tables_number 25
_symmetry_space_group_name_Hall 'P 2 -2'
loop_
_atom_site_label
_atom_site_type_symbol
_atom_site_fract_x
_atom_site_fract_y
_atom_site_fract_z
Yb1 Yb 0.000 0.000 0.000
Yb2 Yb 0.000 0.297 0.697
Yb3 Yb 0.500 0.500 0.210
Ni1 Ni 0.500 0.113 0.514
C1 C 0.000 0.500 0.723
C2 C 0.500 0.165 0.008
C3 C 0.500 0.260 0.211
```

Summary:
As for the formation energy: -0.1011 eV/atom. Its density is 9084 kg/m³.


# 3
Entry from the Alexandria database: crystalline YbNiC2 at its relaxed geometry (PBE).

```
data_YbNiC2
_cell_length_a 3.608
_cell_length_b 4.538
_cell_length_c 6.024
_cell_angle_alpha 90.00
_cell_angle_beta 90.00
_cell_angle_gamma 90.00
_symmetry_space_group_name_H-M 'A m m 2'
_symmetry_Int_Tables_number 38
_symmetry_space_group_name_Hall 'A 2 -2'
loop_
_atom_site_label
_atom_site_type_symbol
_atom_site_fract_x
_atom_site_fract_y
_atom_site_fract_z
Yb1 Yb 0.000 0.000 0.000
Ni1 Ni 0.500 0.000 0.381
C1 C 0.500 0.149 0.693
```

Summary:
As for the formation energy: -0.2249 eV/atom. Its density is 8610 kg/m³.


# 4
Entry from the Alexandria database: crystalline Zn2Ni6C at its relaxed geometry (PBE).

```
data_Zn2Ni6C
_cell_length_a 3.743
_cell_length_b 3.743
_cell_length_c 7.037
_cell_angle_alpha 90.00
_cell_angle_beta 90.00
_cell_angle_gamma 90.00
_symmetry_space_group_name_H-M 'P 4/m m m'
_symmetry_Int_Tables_number 123
_symmetry_space_group_name_Hall '-P 4 2'
loop_
_atom_site_label
_atom_site_type_symbol
_atom_site_fract_x
_atom_site_fract_y
_atom_site_fract_z
Zn1 Zn 0.000 0.000 0.238
Ni1 Ni 0.000 0.500 0.000
Ni2 Ni 0.000 0.500 0.500
Ni3 Ni 0.500 0.500 0.236
C1 C 0.500 0.500 0.500
```

Summary:
As for the formation energy: -0.1203 eV/atom. Its density is 8337 kg/m³.


Number 1: calculated volume 17.143 Å³/atom, D(E_F) 0.77 states/eV per atom. Number 2: calculated volume 14.452 Å³/atom, D(E_F) 3.69 states/eV per atom. Number 3: calculated volume 12.331 Å³/atom, D(E_F) 3.41 states/eV per atom. Number 4: calculated volume 10.955 Å³/atom, D(E_F) 0.39 states/eV per atom.